The following is a PBE calculation of a geometry-optimized AlZnCoTc structure, from the Open Quantum Materials Database.

Cell: 4.220 4.220 4.220 Å, 60.00 60.00 60.00°
Element x y z (fractional)
Co (0.750, 0.750, 0.750)
Al (0.000, 0.000, 0.000)
Zn (0.250, 0.250, 0.250)
Tc (0.500, 0.500, 0.500)

* ΔE to the lowest computed polymorph: 0.123 eV/f.u.

The following is a PBE calculation of a geometry-optimized ReN2 structure, from the Open Quantum Materials Database.

Cell: 4.237 2.865 5.091 Å, 90.00 113.44 90.00°
Element x y z (fractional)
N (0.656, 0.750, 0.295)
N (0.344, 0.250, 0.705)
N (0.111, 0.250, 0.829)
N (0.889, 0.750, 0.171)
Re (0.706, 0.750, 0.717)
Re (0.294, 0.250, 0.283)

* final energy: -9.486 eV/atom

The following is a PBE calculation of a geometry-optimized HfCuReMo structure, from the Open Quantum Materials Database.

Cell: 4.480 4.480 4.480 Å, 60.00 60.00 60.00°
Element x y z (fractional)
Cu (0.750, 0.750, 0.750)
Mo (0.000, 0.000, 0.000)
Re (0.250, 0.250, 0.250)
Hf (0.500, 0.500, 0.500)

* formation energy from the elements: -13 meV/atom
* ΔE to the lowest computed polymorph: 0.000 eV/f.u.

The following is a PBE calculation of a geometry-optimized ScBeFeBi structure, from the Open Quantum Materials Database.

Cell: 4.517 4.517 4.517 Å, 60.00 60.00 60.00°
Element x y z (fractional)
Fe (0.750, 0.750, 0.750)
Bi (0.000, 0.000, 0.000)
Sc (0.250, 0.250, 0.250)
Be (0.500, 0.500, 0.500)

* ΔE to the lowest computed polymorph: 0.152 eV/f.u.

The following is a PBE calculation of a geometry-optimized LiErZnSe3 structure, from the Open Quantum Materials Database.

Cell: 10.813 3.971 13.168 Å, 90.00 90.00 90.00°
Element x y z (fractional)
Li (0.213, 0.750, 0.024)
Li (0.713, 0.750, 0.476)
Li (0.287, 0.250, 0.524)
Li (0.787, 0.250, 0.976)
Zn (0.761, 0.750, 0.773)
Zn (0.739, 0.250, 0.273)
Zn (0.261, 0.750, 0.727)
Zn (0.239, 0.250, 0.227)
Se (0.588, 0.750, 0.893)
Se (0.088, 0.750, 0.607)
Se (0.239, 0.750, 0.342)
Se (0.412, 0.250, 0.107)
Se (0.940, 0.750, 0.889)
Se (0.060, 0.250, 0.111)
Se (0.912, 0.250, 0.393)
Se (0.560, 0.250, 0.389)
Se (0.440, 0.750, 0.611)
Se (0.739, 0.750, 0.158)
Se (0.261, 0.250, 0.842)
Se (0.761, 0.250, 0.658)
Er (0.987, 0.750, 0.255)
Er (0.013, 0.250, 0.745)
Er (0.487, 0.750, 0.245)
Er (0.513, 0.250, 0.755)

* final energy: -4.299 eV/atom

The following is a PBE calculation of a geometry-optimized CsP5Os3 structure, from the Open Quantum Materials Database.

Cell: 5.538 5.538 7.724 Å, 90.00 90.00 120.00°
Element x y z (fractional)
P (0.000, 0.000, 0.500)
P (0.333, 0.667, 0.270)
P (0.667, 0.333, 0.730)
P (0.333, 0.667, 0.730)
P (0.667, 0.333, 0.270)
Os (0.500, 0.000, 0.500)
Os (0.000, 0.500, 0.500)
Os (0.500, 0.500, 0.500)
Cs (0.000, 0.000, 0.000)

* final energy: -6.665 eV/atom